[1]
Y2SbAu | GGA-PBE | relaxed

Cell: 5.2482 5.2482 5.2482 Å, 60.00 60.00 60.00°
Atoms (fractional coordinates):
Y 0.0000 0.0000 0.0000
Y 0.2500 0.2500 0.2500
Sb 0.7500 0.7500 0.7500
Au 0.5000 0.5000 0.5000

Output
Magnetic moment (μB per cell): 0.0
Volume (Å³ per atom): 25.55
Space group: F-43m
Crystal system: cubic
Fermi-level density of states (states/eV per cell): 4.87
Formation energy from raw total energies (eV per atom): -0.20

***

[2]
YSbAu2 | GGA-PBE | relaxed

Cell: 5.7600 5.7600 5.7600 Å, 48.55 48.55 48.55°
Atoms (fractional coordinates):
Y 0.0000 0.0000 0.0000
Sb 0.2009 0.2009 0.2009
Au 0.5909 0.5909 0.5909
Au 0.7768 0.7768 0.7768

Output
Magnetic moment (μB per cell): 0.0
Volume (Å³ per atom): 24.62
Space group: R3m
Crystal system: trigonal
Fermi-level density of states (states/eV per cell): 1.08
Formation energy from raw total energies (eV per atom): -0.63

***

[3]
YSb2Au2 | GGA-PBE | relaxed

Cell: 8.0549 8.0549 3.6780 Å, 90.00 90.00 90.00°
Atoms (fractional coordinates):
Y 0.0000 0.0000 0.0000
Y 0.5000 0.5000 0.0000
Sb 0.1478 0.3522 0.0000
Sb 0.3522 0.8522 0.0000
Sb 0.6478 0.1478 0.0000
Sb 0.8522 0.6478 0.0000
Au 0.1541 0.6541 0.5000
Au 0.3459 0.1541 0.5000
Au 0.6541 0.8459 0.5000
Au 0.8459 0.3459 0.5000

Output
Magnetic moment (μB per cell): 0.0
Volume (Å³ per atom): 23.86
Space group: P4/mbm
Crystal system: tetragonal
Fermi-level density of states (states/eV per cell): 5.57
Formation energy from raw total energies (eV per atom): -0.28

***

[4]
YSbAu2 | GGA-PBE | relaxed

Cell: 5.3847 5.3847 4.4202 Å, 105.56 105.56 49.87°
Atoms (fractional coordinates):
Y 0.0000 0.0000 0.0000
Sb 0.2515 0.2515 0.7364
Au 0.4421 0.4421 0.3851
Au 0.7270 0.7270 0.3181

Output
Magnetic moment (μB per cell): 0.0
Volume (Å³ per atom): 23.40
Space group: Cm
Crystal system: monoclinic
Fermi-level density of states (states/eV per cell): 1.94
Formation energy from raw total energies (eV per atom): -0.52

***

[5]
Y2SbAu | GGA-PBE | relaxed

Cell: 6.2418 6.2418 6.2418 Å, 142.26 136.80 58.68°
Atoms (fractional coordinates):
Y 0.0000 0.0000 0.0000
Y 0.7322 0.2322 0.5000
Sb 0.4560 0.4560 0.0000
Au 0.2366 0.7366 0.5000

Output
Magnetic moment (μB per cell): 0.0
Volume (Å³ per atom): 25.24
Space group: Imm2
Crystal system: orthorhombic
Fermi-level density of states (states/eV per cell): 2.76
Formation energy from raw total energies (eV per atom): -0.80

***

[6]
Y2SbAu | GGA-PBE | relaxed

Cell: 7.6636 7.6636 7.6636 Å, 33.50 33.50 33.50°
Atoms (fractional coordinates):
Y 0.0000 0.0000 0.0000
Y 0.1958 0.1958 0.1958
Sb 0.7455 0.7455 0.7455
Au 0.4672 0.4672 0.4672

Output
Magnetic moment (μB per cell): 1.2
Volume (Å³ per atom): 30.52
Space group: R3m
Crystal system: trigonal
Fermi-level density of states (states/eV per cell): 3.74
Formation energy from raw total energies (eV per atom): -0.42

***

[7]
YZrSbAu2 | GGA-PBE | relaxed

Cell: 5.1808 5.1808 5.4033 Å, 90.00 90.00 90.00°
Atoms (fractional coordinates):
Y 0.0000 0.0000 0.0000
Zr 0.5000 0.5000 0.5000
Sb 0.5000 0.5000 0.0000
Au 0.0000 0.5000 0.5000
Au 0.5000 0.0000 0.5000

Output
Magnetic moment (μB per cell): 0.0
Volume (Å³ per atom): 29.01
Space group: P4/mmm
Crystal system: tetragonal
Fermi-level density of states (states/eV per cell): 4.51
Formation energy from raw total energies (eV per atom): 0.01

***

[8]
Zn2SbAu | GGA-PBE | relaxed

Cell: 5.1271 5.1271 5.1271 Å, 134.82 123.83 74.84°
Atoms (fractional coordinates):
Zn 0.2374 0.2374 0.0000
Zn 0.7626 0.7626 0.0000
Sb 0.5000 0.0000 0.5000
Au 0.0000 0.5000 0.5000

Output
Magnetic moment (μB per cell): 0.0
Volume (Å³ per atom): 19.36
Space group: Immm
Crystal system: orthorhombic
Fermi-level density of states (states/eV per cell): 1.32
Formation energy from raw total energies (eV per atom): 0.08